1.
# NaTlIO4

An optimized crystal structure of NaTlIO4 (PBE, the Alexandria database).

Computed properties:
calculated volume: 228.4 Å³/cell
E_tot: -4.219 eV per atom
space group: Imma
total magnetization: 0.0 μB per cell

a b c (Å): 6.773 6.773 6.773
angles (deg): 120.79 112.25 96.29
Element x y z (fractional)
Na (0.000, 0.000, 0.000)
Na (0.500, 0.000, 0.500)
Tl (0.500, 0.000, 0.000)
Tl (0.500, 0.500, 0.500)
I (0.076, 0.326, 0.750)
I (0.924, 0.674, 0.250)
O (0.206, 0.237, 0.532)
O (0.206, 0.674, 0.968)
O (0.248, 0.737, 0.510)
O (0.273, 0.263, 0.010)
O (0.727, 0.737, 0.990)
O (0.752, 0.263, 0.490)
O (0.794, 0.326, 0.032)
O (0.794, 0.763, 0.468)

=====

2.
# Ba5Hg4I

An optimized crystal structure of Ba5Hg4I (PBE, the Alexandria database).

Computed properties:
calculated volume: 385.1 Å³/cell
E_tot: -1.902 eV per atom
space group: P4/mmm
total magnetization: 0.0 μB per cell

a b c (Å): 4.194 4.194 21.891
angles (deg): 90.00 90.00 90.00
Element x y z (fractional)
Ba (0.000, 0.000, 0.000)
Ba (0.000, 0.000, 0.193)
Ba (0.000, 0.000, 0.385)
Ba (0.000, 0.000, 0.615)
Ba (0.000, 0.000, 0.807)
Hg (0.500, 0.500, 0.098)
Hg (0.500, 0.500, 0.293)
Hg (0.500, 0.500, 0.707)
Hg (0.500, 0.500, 0.902)
I (0.500, 0.500, 0.500)

=====

3.
# LiSi2O4

An optimized crystal structure of LiSi2O4 (PBE, the Alexandria database).

Computed properties:
energy relative to the lowest polymorph listed for this composition: 0.0 meV per atom
calculated volume: 84.9 Å³/cell
space group: I-42m
total magnetization: 0.0 μB per cell

a b c (Å): 5.650 5.650 5.650
angles (deg): 136.32 136.32 63.49
Element x y z (fractional)
Li (0.000, 0.000, 0.000)
Si (0.250, 0.750, 0.500)
Si (0.750, 0.250, 0.500)
O (0.077, 0.603, 0.000)
O (0.397, 0.397, 0.474)
O (0.603, 0.077, 0.000)
O (0.923, 0.923, 0.526)

=====

4.
# GaCo

An optimized crystal structure of GaCo (PBE, the Alexandria database).

Computed properties:
DFT formation energy: 0.1788 eV per atom
calculated volume: 109.1 Å³/cell
space group: P4_2/mnm
total magnetization: 0.0 μB per cell

a b c (Å): 4.775 4.775 4.786
angles (deg): 90.00 90.00 90.00
Element x y z (fractional)
Ga (0.208, 0.208, 0.000)
Ga (0.292, 0.708, 0.500)
Ga (0.708, 0.292, 0.500)
Ga (0.792, 0.792, 0.000)
Co (0.204, 0.204, 0.500)
Co (0.296, 0.704, 0.000)
Co (0.704, 0.296, 0.000)
Co (0.796, 0.796, 0.500)

=====

5.
# Ba2HfMo

An optimized crystal structure of Ba2HfMo (PBE, the Alexandria database).

Computed properties:
DFT formation energy: 1.4240 eV per atom
calculated volume: 116.6 Å³/cell
space group: Fm-3m
total magnetization: 0.0 μB per cell

a b c (Å): 5.484 5.484 5.484
angles (deg): 60.00 60.00 60.00
Element x y z (fractional)
Ba (0.250, 0.250, 0.250)
Ba (0.750, 0.750, 0.750)
Hf (0.000, 0.000, 0.000)
Mo (0.500, 0.500, 0.500)

=====

6.
# MnCuSbPd

An optimized crystal structure of MnCuSbPd (PBE, the Alexandria database).

Computed properties:
calculated volume: 65.6 Å³/cell
E_tot: -5.715 eV per atom
space group: F-43m
total magnetization: 4.2 μB per cell

a b c (Å): 4.526 4.526 4.526
angles (deg): 60.00 60.00 60.00
Element x y z (fractional)
Mn (0.000, 0.000, 0.000)
Cu (0.750, 0.750, 0.750)
Sb (0.500, 0.500, 0.500)
Pd (0.250, 0.250, 0.250)

=====

7.
# LaCeHg3

An optimized crystal structure of LaCeHg3 (PBE, the Alexandria database).

Computed properties:
energy relative to the lowest polymorph listed for this composition: 0.0 meV per atom
DFT formation energy: -0.3993 eV per atom
calculated volume: 272.6 Å³/cell
space group: Cmcm
total magnetization: 2.9 μB per cell

a b c (Å): 15.238 15.238 5.073
angles (deg): 90.00 90.00 166.62
Element x y z (fractional)
La (0.074, 0.926, 0.750)
La (0.926, 0.074, 0.250)
Ce (0.213, 0.787, 0.250)
Ce (0.787, 0.213, 0.750)
Hg (0.323, 0.677, 0.250)
Hg (0.378, 0.622, 0.750)
Hg (0.476, 0.524, 0.750)
Hg (0.524, 0.476, 0.250)
Hg (0.622, 0.378, 0.250)
Hg (0.677, 0.323, 0.750)